# 1
# PBE-GGA PmIn3Sn2, relaxed
data_PmIn3Sn2
_chemical_formula_sum 'Pm1 In3 Sn2'
_cell_length_a 7.878
_cell_length_b 7.878
_cell_length_c 4.319
_cell_angle_alpha 90.00
_cell_angle_beta 90.00
_cell_angle_gamma 143.07
_space_group_name_H-M_alt 'P 1'
_space_group_IT_number 1
loop_
_space_group_symop_operation_xyz
'x,y,z'
loop_
_atom_site_label
_atom_site_type_symbol
_atom_site_fract_x
_atom_site_fract_y
_atom_site_fract_z
Pm1 Pm 0.000 0.000 0.000
In1 In 0.175 0.825 0.500
In2 In 0.500 0.500 0.500
In3 In 0.825 0.175 0.500
Sn1 Sn 0.340 0.660 0.000
Sn2 Sn 0.660 0.340 0.000
# **Space-group type**: Cmmm, No. 65
# **Formation energy**: -0.22 eV per atom
# **DOS(E_F)**: 3.05 states/eV/f.u.
# **Energy**: -3.71 eV per atom

# 2
# PBE-GGA PmHgSb, relaxed
data_PmHgSb
_chemical_formula_sum 'Pm1 Hg1 Sb1'
_cell_length_a 5.600
_cell_length_b 5.600
_cell_length_c 5.600
_cell_angle_alpha 135.37
_cell_angle_beta 135.37
_cell_angle_gamma 64.96
_space_group_name_H-M_alt 'P 1'
_space_group_IT_number 1
loop_
_space_group_symop_operation_xyz
'x,y,z'
loop_
_atom_site_label
_atom_site_type_symbol
_atom_site_fract_x
_atom_site_fract_y
_atom_site_fract_z
Pm1 Pm 0.000 0.000 0.000
Hg1 Hg 0.676 0.676 0.000
Sb1 Sb 0.351 0.351 0.000
# **Energy relative to the elements, uncorrected**: -0.548 eV/atom
# **Space-group type**: I4mm, No. 107
# **Energy above the most stable polymorph in this dataset**: 0.24 eV per formula unit
# **DOS(E_F)**: 0.83 states/eV/f.u.
# **Energy**: -3.61 eV per atom